Below is a geometry-optimized Ta3Mo4 structure, with properties calculated at the GGA-PBEsol level.

Results
M_tot, Bohr magnetons per cell: 0.00
Symmetry: Cm, No. 8
Final energy, eV per formula unit: -85.68
ΔE_f, eV per atom: -0.14

a = 5.2832 Å, b = 5.2832 Å, c = 5.2819 Å
α = 95.15°, β = 95.15°, γ = 50.47°
Fractional positions:
Ta 0.0000 0.0000 0.0000
Ta 0.5692 0.5692 0.3031
Ta 0.8603 0.8603 0.4455
Mo 0.1471 0.1471 0.5798
Mo 0.2853 0.2853 0.1512
Mo 0.4285 0.4285 0.7299
Mo 0.7122 0.7122 0.8705

---

Below is a geometry-optimized Ta3Mo4 structure, with properties calculated at the GGA-PBEsol level.

Results
M_tot, Bohr magnetons per cell: 0.00
Symmetry: R3m, No. 160
Final energy, eV per formula unit: -85.67
ΔE_f, eV per atom: -0.14

a = 6.9451 Å, b = 6.9451 Å, c = 6.9451 Å
α = 37.81°, β = 37.81°, γ = 37.81°
Fractional positions:
Ta 0.0000 0.0000 0.0000
Ta 0.1477 0.1477 0.1477
Ta 0.7201 0.7201 0.7201
Mo 0.2898 0.2898 0.2898
Mo 0.4318 0.4318 0.4318
Mo 0.5736 0.5736 0.5736
Mo 0.8619 0.8619 0.8619

---

Below is a geometry-optimized Ta3Mo2 structure, with properties calculated at the GGA-PBEsol level.

Results
M_tot, Bohr magnetons per cell: 0.00
Symmetry: I4/mmm, No. 139
Final energy, eV per formula unit: -61.68
ΔE_f, eV per atom: -0.10

a = 8.4541 Å, b = 8.4541 Å, c = 8.4541 Å
α = 158.25°, β = 158.25°, γ = 30.95°
Fractional positions:
Ta 0.0000 0.0000 0.0000
Ta 0.3957 0.3957 0.0000
Ta 0.6043 0.6043 0.0000
Mo 0.2033 0.2033 0.0000
Mo 0.7967 0.7967 0.0000

---

Below is a geometry-optimized Ta3Mo5 structure, with properties calculated at the GGA-PBEsol level.

Results
M_tot, Bohr magnetons per cell: 0.00
Symmetry: I4mm, No. 107
Final energy, eV per formula unit: -97.51
ΔE_f, eV per atom: -0.13

a = 7.1212 Å, b = 7.1212 Å, c = 7.1212 Å
α = 143.28°, β = 143.28°, γ = 52.91°
Fractional positions:
Ta 0.0000 0.0000 0.0000
Ta 0.3692 0.8692 0.5000
Ta 0.8692 0.3692 0.5000
Mo 0.1224 0.6224 0.5000
Mo 0.2422 0.2422 0.0000
Mo 0.4975 0.4975 0.0000
Mo 0.6224 0.1224 0.5000
Mo 0.7435 0.7435 0.0000

---

Below is a geometry-optimized TaMo4 structure, with properties calculated at the GGA-PBEsol level.

Results
M_tot, Bohr magnetons per cell: 0.00
Symmetry: R-3m, No. 166
Final energy, eV per formula unit: -60.10
ΔE_f, eV per atom: -0.10

a = 5.2286 Å, b = 5.2286 Å, c = 5.2286 Å
α = 50.50°, β = 50.50°, γ = 50.50°
Fractional positions:
Ta 0.0000 0.0000 0.0000
Mo 0.2020 0.2020 0.2020
Mo 0.4014 0.4014 0.4014
Mo 0.5986 0.5986 0.5986
Mo 0.7980 0.7980 0.7980

---

Below is a geometry-optimized Ta2Mo structure, with properties calculated at the GGA-PBEsol level.

Results
M_tot, Bohr magnetons per cell: 0.00
Symmetry: I4_1/amd, No. 141
Final energy, eV per formula unit: -35.41
ΔE_f, eV per atom: 0.49

a = 10.9255 Å, b = 10.9255 Å, c = 10.9255 Å
α = 163.27°, β = 163.27°, γ = 23.74°
Fractional positions:
Ta 0.3036 0.5536 0.7500
Ta 0.4464 0.6964 0.7500
Ta 0.5536 0.3036 0.2500
Ta 0.6964 0.4464 0.2500
Mo 0.1250 0.8750 0.2500
Mo 0.8750 0.1250 0.7500

---

Below is a geometry-optimized Ta3Mo5 structure, with properties calculated at the GGA-PBEsol level.

Results
M_tot, Bohr magnetons per cell: 0.00
Symmetry: Immm, No. 71
Final energy, eV per formula unit: -97.43
ΔE_f, eV per atom: -0.12

a = 9.4271 Å, b = 9.4271 Å, c = 9.4271 Å
α = 160.59°, β = 152.52°, γ = 33.86°
Fractional positions:
Ta 0.0000 0.0000 0.0000
Ta 0.1282 0.6282 0.5000
Ta 0.8718 0.3718 0.5000
Mo 0.2519 0.2519 0.0000
Mo 0.3739 0.8739 0.5000
Mo 0.5000 0.5000 0.0000
Mo 0.6261 0.1261 0.5000
Mo 0.7481 0.7481 0.0000

---

Below is a geometry-optimized TaMo2 structure, with properties calculated at the GGA-PBEsol level.

Results
M_tot, Bohr magnetons per cell: 0.00
Symmetry: P-3m1, No. 164
Final energy, eV per formula unit: -36.38
ΔE_f, eV per atom: -0.10

a = 4.4966 Å, b = 4.4966 Å, c = 5.4710 Å
α = 90.00°, β = 90.00°, γ = 120.00°
Fractional positions:
Ta 0.3333 0.6667 0.4115
Ta 0.6667 0.3333 0.5885
Mo 0.0000 0.0000 0.2478
Mo 0.0000 0.0000 0.7522
Mo 0.3333 0.6667 0.9147
Mo 0.6667 0.3333 0.0853

---

Below is a geometry-optimized Ta3Mo5 structure, with properties calculated at the GGA-PBEsol level.

Results
M_tot, Bohr magnetons per cell: 0.00
Symmetry: Cmmm, No. 65
Final energy, eV per formula unit: -97.16
ΔE_f, eV per atom: -0.08

a = 2.7771 Å, b = 2.7771 Å, c = 17.7510 Å
α = 90.00°, β = 90.00°, γ = 110.24°
Fractional positions:
Ta 0.0000 0.0000 0.0000
Ta 0.0000 0.0000 0.2523
Ta 0.0000 0.0000 0.7477
Mo 0.0000 0.0000 0.5000
Mo 0.5000 0.5000 0.1261
Mo 0.5000 0.5000 0.3791
Mo 0.5000 0.5000 0.6209
Mo 0.5000 0.5000 0.8739

---

Below is a geometry-optimized Ta3Mo5 structure, with properties calculated at the GGA-PBEsol level.

Results
M_tot, Bohr magnetons per cell: 0.00
Symmetry: Im-3m, No. 229
Final energy, eV per formula unit: -97.75
ΔE_f, eV per atom: -0.16

a = 5.5072 Å, b = 5.5072 Å, c = 5.5072 Å
α = 109.47°, β = 109.47°, γ = 109.47°
Fractional positions:
Ta 0.0000 0.5000 0.5000
Ta 0.5000 0.0000 0.5000
Ta 0.5000 0.5000 0.0000
Mo 0.0000 0.0000 0.0000
Mo 0.0000 0.0000 0.5000
Mo 0.0000 0.5000 0.0000
Mo 0.5000 0.0000 0.0000
Mo 0.5000 0.5000 0.5000

---

Below is a geometry-optimized Ta3Mo structure, with properties calculated at the GGA-PBEsol level.

Results
M_tot, Bohr magnetons per cell: 0.00
Symmetry: Cmmm, No. 65
Final energy, eV per formula unit: -49.62
ΔE_f, eV per atom: -0.05

a = 2.8415 Å, b = 2.8415 Å, c = 9.0277 Å
α = 90.00°, β = 90.00°, γ = 111.42°
Fractional positions:
Ta 0.0000 0.0000 0.0000
Ta 0.5000 0.5000 0.2597
Ta 0.5000 0.5000 0.7403
Mo 0.0000 0.0000 0.5000

---

Below is a geometry-optimized Ta3Mo5 structure, with properties calculated at the GGA-PBEsol level.

Results
M_tot, Bohr magnetons per cell: 0.00
Symmetry: Imm2, No. 44
Final energy, eV per formula unit: -97.28
ΔE_f, eV per atom: -0.10

a = 9.3653 Å, b = 9.3653 Å, c = 9.3653 Å
α = 160.51°, β = 152.02°, γ = 34.32°
Fractional positions:
Ta 0.0000 0.0000 0.0000
Ta 0.4964 0.4964 0.0000
Ta 0.6283 0.1283 0.5000
Mo 0.1286 0.6286 0.5000
Mo 0.2506 0.2506 0.0000
Mo 0.3721 0.8721 0.5000
Mo 0.7532 0.7532 0.0000
Mo 0.8720 0.3720 0.5000